This record from Alexandria describes an optimized crystal structure of Tb3Sm3Th2. The functional is GGA-PBE.

As for the calculated volume: 32.8 Å³/atom. As for the density of states at the Fermi level: 1.12 states/eV/atom. Its formation energy from the elements is 2.85 kJ/mol of atoms.

The space group is Immm (No. 71) and the conventional cell measures 5.066, 5.069 and 20.449 Å, with angles of 90.00, 90.00 and 90.00 degrees. The distinct sites, in fractional coordinates, are Tb at (0.000, 0.000, 0.000), Tb at (0.000, 0.500, 0.128), Sm at (0.000, 0.000, 0.500), Sm at (0.000, 0.500, 0.372) and Th at (0.000, 0.000, 0.250).

=====

This record from Alexandria describes an optimized crystal structure of Tb6Sm3Th. The functional is GGA-PBE.

As for the calculated volume: 33.5 Å³/atom. As for the density of states at the Fermi level: 1.94 states/eV/atom. Its formation energy from the elements is 28.06 kJ/mol of atoms.

The space group is R32 (No. 155, hexagonal axes) and the conventional cell measures 9.9127, 9.9127 and 11.8028 Å, with angles of 90.00, 90.00 and 120.00 degrees. The distinct sites, in fractional coordinates, are Tb at (0.0000, 0.3266, 0.0000), Tb at (0.0000, 0.6685, 0.5000), Sm at (0.0000, 0.0000, 0.2570), Sm at (0.0000, 0.0000, 0.5000) and Th at (0.0000, 0.0000, 0.0000).